VASP calculation (PBE+U) on MnSb2O2F8 after structural relaxation.

Output
**ρ**: 4.0 Mg/m³
**Size of the total moment**: 5.00 μB per formula unit
**Uncorrected energy**: -5.154 eV/atom

Cell lengths 5.376, 8.039, 9.662 Å; angles 90.00, 106.96, 90.00 degrees
Fractional coordinates of all 26 atoms:
Mn 0.000 0.000 0.000
Mn 0.000 0.500 0.500
Sb 0.437 0.184 0.401
Sb 0.437 0.316 0.901
Sb 0.563 0.684 0.099
Sb 0.563 0.816 0.599
O 0.240 0.135 0.923
O 0.240 0.365 0.423
O 0.760 0.635 0.577
O 0.760 0.865 0.077
F 0.179 0.052 0.262
F 0.179 0.448 0.762
F 0.228 0.733 0.476
F 0.228 0.767 0.976
F 0.348 0.039 0.562
F 0.348 0.461 0.062
F 0.415 0.722 0.252
F 0.415 0.778 0.752
F 0.585 0.222 0.248
F 0.585 0.278 0.748
F 0.652 0.539 0.938
F 0.652 0.961 0.438
F 0.772 0.233 0.024
F 0.772 0.267 0.524
F 0.821 0.552 0.238
F 0.821 0.948 0.738